DFT (GGA-PBE) results for a relaxed CaCoHg crystal.

Structure (CIF):
```
data_CaCoHg
_chemical_formula_sum 'Ca1 Co1 Hg1'
_cell_length_a 3.6249
_cell_length_b 3.6249
_cell_length_c 6.1533
_cell_angle_alpha 90.00
_cell_angle_beta 90.00
_cell_angle_gamma 120.00
_space_group_name_H-M_alt 'P 3 m 1'
_space_group_IT_number 156
loop_
_space_group_symop_operation_xyz
'x,y,z'
'-y,x-y,z'
'-x+y,-x,z'
'-y,-x,z'
'-x+y,y,z'
'x,x-y,z'
loop_
_atom_site_label
_atom_site_fract_x
_atom_site_fract_y
_atom_site_fract_z
Ca1 0.0000 0.0000 0.0000
Co1 0.6667 0.3333 0.3283
Hg1 0.3333 0.6667 0.6018
```

Computed properties:
Total magnetization, μB/f.u.: 1.1
Total DFT energy (no corrections), eV per atom: -2.775
Crystal system: trigonal
Energy of formation from the pure elements, meV per atom: 361

***

DFT (GGA-PBE) results for a relaxed Mg7CdHg12 crystal.

Structure (CIF):
```
data_Mg7CdHg12
_chemical_formula_sum 'Mg21 Cd3 Hg36'
_cell_length_a 14.9923
_cell_length_b 14.9923
_cell_length_c 7.3883
_cell_angle_alpha 90.00
_cell_angle_beta 90.00
_cell_angle_gamma 120.00
_space_group_name_H-M_alt 'R -3 m'
_space_group_IT_number 166
_space_group_name_Hall '-R 3 2"'
loop_
_atom_site_label
_atom_site_fract_x
_atom_site_fract_y
_atom_site_fract_z
Mg1 0.0000 0.0000 0.0000
Mg2 0.0962 0.5481 0.8525
Cd1 0.0000 0.0000 0.5000
Hg1 0.0000 0.2602 0.5000
Hg2 0.1040 0.2080 0.7985
```

Computed properties:
Total magnetization, μB/f.u.: 0.0
Total DFT energy (no corrections), eV per atom: -0.866
Crystal system: trigonal
Energy of formation from the pure elements, meV per atom: -81

***

DFT (GGA-PBE) results for a relaxed NbSiP crystal.

Structure (CIF):
```
data_NbSiP
_chemical_formula_sum 'Nb4 Si4 P4'
_cell_length_a 3.441
_cell_length_b 3.441
_cell_length_c 16.239
_cell_angle_alpha 90.00
_cell_angle_beta 90.00
_cell_angle_gamma 90.00
_space_group_name_H-M_alt 'I 4/m m m'
_space_group_IT_number 139
_space_group_name_Hall '-I 4 2'
loop_
_atom_site_label
_atom_site_fract_x
_atom_site_fract_y
_atom_site_fract_z
Nb1 0.000 0.000 0.125
Si1 0.000 0.500 0.250
P1 0.000 0.000 0.433
```

Computed properties:
Total magnetization, μB/f.u.: 0.0
Total DFT energy (no corrections), eV per atom: -7.547
Crystal system: tetragonal

***

DFT (GGA-PBE) results for a relaxed ZrScCdBr2 crystal.

Structure (CIF):
```
data_ZrScCdBr2
_chemical_formula_sum 'Zr1 Sc1 Cd1 Br2'
_cell_length_a 5.109
_cell_length_b 5.109
_cell_length_c 6.219
_cell_angle_alpha 90.00
_cell_angle_beta 90.00
_cell_angle_gamma 90.00
_space_group_name_H-M_alt 'P 4/m m m'
_space_group_IT_number 123
_space_group_name_Hall '-P 4 2'
loop_
_atom_site_label
_atom_site_fract_x
_atom_site_fract_y
_atom_site_fract_z
Zr1 0.000 0.000 0.000
Sc1 0.000 0.000 0.500
Cd1 0.500 0.500 0.000
Br1 0.000 0.500 0.500
```

Computed properties:
Total magnetization, μB/f.u.: 3.0
Total DFT energy (no corrections), eV per atom: -3.815
Crystal system: tetragonal

***

DFT (GGA-PBE) results for a relaxed CaPrSiAu crystal.

Structure (CIF):
```
data_CaPrSiAu
_chemical_formula_sum 'Ca4 Pr4 Si4 Au4'
_cell_length_a 7.341
_cell_length_b 7.341
_cell_length_c 7.341
_cell_angle_alpha 90.00
_cell_angle_beta 90.00
_cell_angle_gamma 90.00
_space_group_name_H-M_alt 'F -4 3 m'
_space_group_IT_number 216
_space_group_name_Hall 'F -4 2 3'
loop_
_atom_site_label
_atom_site_fract_x
_atom_site_fract_y
_atom_site_fract_z
Ca1 0.000 0.000 0.000
Pr1 0.000 0.000 0.500
Si1 0.250 0.250 0.250
Au1 0.250 0.250 0.750
```

Computed properties:
Total magnetization, μB/f.u.: 0.0
Total DFT energy (no corrections), eV per atom: -4.506
Crystal system: cubic

***

DFT (GGA-PBE) results for a relaxed Si3IrS crystal.

Structure (CIF):
```
data_Si3IrS
_chemical_formula_sum 'Si3 Ir1 S1'
_cell_length_a 4.618
_cell_length_b 4.618
_cell_length_c 4.618
_cell_angle_alpha 90.00
_cell_angle_beta 90.00
_cell_angle_gamma 90.00
_space_group_name_H-M_alt 'P m -3 m'
_space_group_IT_number 221
_space_group_name_Hall '-P 4 2 3'
loop_
_atom_site_label
_atom_site_fract_x
_atom_site_fract_y
_atom_site_fract_z
Si1 0.000 0.000 0.500
Ir1 0.000 0.000 0.000
S1 0.500 0.500 0.500
```

Computed properties:
Total magnetization, μB/f.u.: 0.0
Energy above the most stable polymorph in this dataset, kJ/mol of atoms: 0.0
Total DFT energy (no corrections), eV per atom: -5.571
Crystal system: cubic

***

DFT (GGA-PBE) results for a relaxed TaBe2BSe crystal.

Structure (CIF):
```
data_TaBe2BSe
_chemical_formula_sum 'Ta1 Be2 B1 Se1'
_cell_length_a 4.048
_cell_length_b 4.048
_cell_length_c 4.288
_cell_angle_alpha 90.00
_cell_angle_beta 90.00
_cell_angle_gamma 90.00
_space_group_name_H-M_alt 'P 4/m m m'
_space_group_IT_number 123
_space_group_name_Hall '-P 4 2'
loop_
_atom_site_label
_atom_site_fract_x
_atom_site_fract_y
_atom_site_fract_z
Ta1 0.000 0.000 0.000
Be1 0.000 0.500 0.500
B1 0.500 0.500 0.000
Se1 0.500 0.500 0.500
```

Computed properties:
Total magnetization, μB/f.u.: 0.0
Total DFT energy (no corrections), eV per atom: -4.427
Crystal system: tetragonal

***

DFT (GGA-PBE) results for a relaxed Rb3NpBr2Cl6 crystal.

Structure (CIF):
```
data_Rb3NpBr2Cl6
_chemical_formula_sum 'Rb6 Np2 Br4 Cl12'
_cell_length_a 17.180
_cell_length_b 9.373
_cell_length_c 5.867
_cell_angle_alpha 90.00
_cell_angle_beta 90.32
_cell_angle_gamma 90.00
_space_group_name_H-M_alt 'C 1 2/m 1'
_space_group_IT_number 12
loop_
_space_group_symop_operation_xyz
'x,y,z'
'-x,-y,-z'
'-x,y,-z'
'x,-y,z'
'x+1/2,y+1/2,z'
'-x+1/2,-y+1/2,-z'
'-x+1/2,y+1/2,-z'
'x+1/2,-y+1/2,z'
loop_
_atom_site_label
_atom_site_fract_x
_atom_site_fract_y
_atom_site_fract_z
Rb1 0.000 0.000 0.000
Rb2 0.250 0.250 0.500
Np1 0.000 0.500 0.500
Br1 0.192 0.000 0.104
Cl1 0.065 0.305 0.735
Cl2 0.120 0.500 0.253
```

Computed properties:
Total magnetization, μB/f.u.: 1.8
Total DFT energy (no corrections), eV per atom: -4.149
Crystal system: monoclinic

***

DFT (GGA-PBE) results for a relaxed Sc8AlPd2 crystal.

Structure (CIF):
```
data_Sc8AlPd2
_chemical_formula_sum 'Sc16 Al2 Pd4'
_cell_length_a 4.552
_cell_length_b 7.393
_cell_length_c 13.992
_cell_angle_alpha 90.00
_cell_angle_beta 90.00
_cell_angle_gamma 90.00
_space_group_name_H-M_alt 'I m m m'
_space_group_IT_number 71
_space_group_name_Hall '-I 2 2'
loop_
_atom_site_label
_atom_site_fract_x
_atom_site_fract_y
_atom_site_fract_z
Sc1 0.000 0.000 0.140
Sc2 0.000 0.218 0.335
Sc3 0.000 0.305 0.000
Al1 0.000 0.500 0.500
Pd1 0.000 0.500 0.189
```

Computed properties:
Total magnetization, μB/f.u.: 2.0
Total DFT energy (no corrections), eV per atom: -6.225
Crystal system: orthorhombic
Energy of formation from the pure elements, meV per atom: -336

***

DFT (GGA-PBE) results for a relaxed DyTm2Co crystal.

Structure (CIF):
```
data_DyTm2Co
_chemical_formula_sum 'Dy4 Tm8 Co4'
_cell_length_a 6.895
_cell_length_b 9.243
_cell_length_c 6.193
_cell_angle_alpha 90.00
_cell_angle_beta 90.00
_cell_angle_gamma 90.00
_space_group_name_H-M_alt 'P n m a'
_space_group_IT_number 62
loop_
_space_group_symop_operation_xyz
'x,y,z'
'-x,-y,-z'
'-x+1/2,-y,z+1/2'
'x+1/2,y,-z+1/2'
'x+1/2,-y+1/2,-z+1/2'
'-x+1/2,y+1/2,z+1/2'
'-x,y+1/2,-z'
'x,-y+1/2,z'
loop_
_atom_site_label
_atom_site_fract_x
_atom_site_fract_y
_atom_site_fract_z
Dy1 0.042 0.250 0.139
Tm1 0.174 0.067 0.677
Co1 0.113 0.750 0.452
```

Computed properties:
Total magnetization, μB/f.u.: 0.0
Energy above the most stable polymorph in this dataset, kJ/mol of atoms: 0.0
Total DFT energy (no corrections), eV per atom: -5.352
Crystal system: orthorhombic
Energy of formation from the pure elements, meV per atom: -189

***

DFT (GGA-PBE) results for a relaxed Li4CdSn crystal.

Structure (CIF):
```
data_Li4CdSn
_chemical_formula_sum 'Li16 Cd4 Sn4'
_cell_length_a 7.615
_cell_length_b 7.615
_cell_length_c 7.615
_cell_angle_alpha 90.00
_cell_angle_beta 90.00
_cell_angle_gamma 90.00
_space_group_name_H-M_alt 'F -4 3 m'
_space_group_IT_number 216
_space_group_name_Hall 'F -4 2 3'
loop_
_atom_site_label
_atom_site_fract_x
_atom_site_fract_y
_atom_site_fract_z
Li1 0.125 0.125 0.125
Cd1 0.000 0.000 0.500
Sn1 0.250 0.250 0.750
```

Computed properties:
Total magnetization, μB/f.u.: 0.3
Energy above the most stable polymorph in this dataset, kJ/mol of atoms: 15.2
Total DFT energy (no corrections), eV per atom: -2.247
Crystal system: cubic
Energy of formation from the pure elements, meV per atom: -151

***

DFT (GGA-PBE) results for a relaxed Co5Ru crystal.

Structure (CIF):
```
data_Co5Ru
_chemical_formula_sum 'Co5 Ru1'
_cell_length_a 4.6150
_cell_length_b 4.6150
_cell_length_c 4.0213
_cell_angle_alpha 90.00
_cell_angle_beta 90.00
_cell_angle_gamma 120.00
_space_group_name_H-M_alt 'P 6/m m m'
_space_group_IT_number 191
_space_group_name_Hall '-P 6 2'
loop_
_atom_site_label
_atom_site_fract_x
_atom_site_fract_y
_atom_site_fract_z
Co1 0.0000 0.5000 0.0000
Co2 0.3333 0.6667 0.5000
Ru1 0.0000 0.0000 0.5000
```

Computed properties:
Total magnetization, μB/f.u.: 10.3
Energy above the most stable polymorph in this dataset, kJ/mol of atoms: 25.2
Total DFT energy (no corrections), eV per atom: -7.124
Crystal system: hexagonal
Energy of formation from the pure elements, meV per atom: 344

***

DFT (GGA-PBE) results for a relaxed NdGdCo2 crystal.

Structure (CIF):
```
data_NdGdCo2
_chemical_formula_sum 'Nd4 Gd4 Co8'
_cell_length_a 6.845
_cell_length_b 6.845
_cell_length_c 6.845
_cell_angle_alpha 90.00
_cell_angle_beta 90.00
_cell_angle_gamma 90.00
_space_group_name_H-M_alt 'F m -3 m'
_space_group_IT_number 225
_space_group_name_Hall '-F 4 2 3'
loop_
_atom_site_label
_atom_site_fract_x
_atom_site_fract_y
_atom_site_fract_z
Nd1 0.000 0.000 0.000
Gd1 0.000 0.000 0.500
Co1 0.250 0.250 0.250
```

Computed properties:
Total magnetization, μB/f.u.: 6.2
Energy above the most stable polymorph in this dataset, kJ/mol of atoms: 0.0
Total DFT energy (no corrections), eV per atom: -8.289
Crystal system: cubic
Energy of formation from the pure elements, meV per atom: -24

***

DFT (GGA-PBE) results for a relaxed TbSm2Dy4Ho crystal.

Structure (CIF):
```
data_TbSm2Dy4Ho
_chemical_formula_sum 'Tb4 Sm8 Dy16 Ho4'
_cell_length_a 13.604
_cell_length_b 13.265
_cell_length_c 6.803
_cell_angle_alpha 90.00
_cell_angle_beta 120.00
_cell_angle_gamma 90.00
_space_group_name_H-M_alt 'C 1 2/c 1'
_space_group_IT_number 15
loop_
_space_group_symop_operation_xyz
'x,y,z'
'-x,-y,-z'
'-x,y,-z+1/2'
'x,-y,z+1/2'
'x+1/2,y+1/2,z'
'-x+1/2,-y+1/2,-z'
'-x+1/2,y+1/2,-z+1/2'
'x+1/2,-y+1/2,z+1/2'
loop_
_atom_site_label
_atom_site_fract_x
_atom_site_fract_y
_atom_site_fract_z
Tb1 0.250 0.250 0.000
Sm1 0.000 0.000 0.000
Sm2 0.250 0.250 0.500
Dy1 0.000 0.253 0.501
Dy2 0.248 0.499 0.996
Ho1 0.000 0.500 0.000
```

Computed properties:
Total magnetization, μB/f.u.: 3.5
Total DFT energy (no corrections), eV per atom: -4.201
Crystal system: monoclinic
Energy of formation from the pure elements, meV per atom: 431

***

DFT (GGA-PBE) results for a relaxed LaCePmMg crystal.

Structure (CIF):
```
data_LaCePmMg
_chemical_formula_sum 'La4 Ce4 Pm4 Mg4'
_cell_length_a 7.955
_cell_length_b 7.955
_cell_length_c 7.955
_cell_angle_alpha 90.00
_cell_angle_beta 90.00
_cell_angle_gamma 90.00
_space_group_name_H-M_alt 'F -4 3 m'
_space_group_IT_number 216
_space_group_name_Hall 'F -4 2 3'
loop_
_atom_site_label
_atom_site_fract_x
_atom_site_fract_y
_atom_site_fract_z
La1 0.000 0.000 0.000
Ce1 0.250 0.250 0.750
Pm1 0.000 0.000 0.500
Mg1 0.250 0.250 0.250
```

Computed properties:
Total magnetization, μB/f.u.: 1.3
Total DFT energy (no corrections), eV per atom: -4.172
Crystal system: cubic
Energy of formation from the pure elements, meV per atom: 129

***

DFT (GGA-PBE) results for a relaxed ZrTc2Ge2 crystal.

Structure (CIF):
```
data_ZrTc2Ge2
_chemical_formula_sum 'Zr2 Tc4 Ge4'
_cell_length_a 4.482
_cell_length_b 4.482
_cell_length_c 8.941
_cell_angle_alpha 90.00
_cell_angle_beta 90.00
_cell_angle_gamma 90.00
_space_group_name_H-M_alt 'I 4/m m m'
_space_group_IT_number 139
_space_group_name_Hall '-I 4 2'
loop_
_atom_site_label
_atom_site_fract_x
_atom_site_fract_y
_atom_site_fract_z
Zr1 0.000 0.000 0.000
Tc1 0.000 0.000 0.374
Ge1 0.000 0.500 0.250
```

Computed properties:
Total magnetization, μB/f.u.: 0.0
Energy above the most stable polymorph in this dataset, kJ/mol of atoms: 20.7
Total DFT energy (no corrections), eV per atom: -7.755
Crystal system: tetragonal
Energy of formation from the pure elements, meV per atom: -52

***

DFT (GGA-PBE) results for a relaxed Ce2UTc crystal.

Structure (CIF):
```
data_Ce2UTc
_chemical_formula_sum 'Ce6 U3 Tc3'
_cell_length_a 3.0540
_cell_length_b 3.0540
_cell_length_c 31.0131
_cell_angle_alpha 90.00
_cell_angle_beta 90.00
_cell_angle_gamma 120.00
_space_group_name_H-M_alt 'R -3 m'
_space_group_IT_number 166
_space_group_name_Hall '-R 3 2"'
loop_
_atom_site_label
_atom_site_fract_x
_atom_site_fract_y
_atom_site_fract_z
Ce1 0.0000 0.0000 0.0929
U1 0.0000 0.0000 0.0000
Tc1 0.0000 0.0000 0.5000
```

Computed properties:
Total magnetization, μB/f.u.: 0.0
Energy above the most stable polymorph in this dataset, kJ/mol of atoms: 13.2
Total DFT energy (no corrections), eV per atom: -8.103
Crystal system: trigonal
Energy of formation from the pure elements, meV per atom: 278

***

DFT (GGA-PBE) results for a relaxed ZrIn2GaCl6 crystal.

Structure (CIF):
```
data_ZrIn2GaCl6
_chemical_formula_sum 'Zr2 In4 Ga2 Cl12'
_cell_length_a 12.815
_cell_length_b 7.074
_cell_length_c 6.570
_cell_angle_alpha 90.00
_cell_angle_beta 100.07
_cell_angle_gamma 90.00
_space_group_name_H-M_alt 'C 1 2/m 1'
_space_group_IT_number 12
loop_
_space_group_symop_operation_xyz
'x,y,z'
'-x,-y,-z'
'-x,y,-z'
'x,-y,z'
'x+1/2,y+1/2,z'
'-x+1/2,-y+1/2,-z'
'-x+1/2,y+1/2,-z'
'x+1/2,-y+1/2,z'
loop_
_atom_site_label
_atom_site_fract_x
_atom_site_fract_y
_atom_site_fract_z
Zr1 0.000 0.000 0.000
In1 0.195 0.500 0.244
Ga1 0.000 0.500 0.500
Cl1 0.107 0.245 0.845
Cl2 0.139 0.000 0.317
```

Computed properties:
Total magnetization, μB/f.u.: 0.7
Total DFT energy (no corrections), eV per atom: -3.941
Crystal system: monoclinic

***

DFT (GGA-PBE) results for a relaxed PrSmSnRh crystal.

Structure (CIF):
```
data_PrSmSnRh
_chemical_formula_sum 'Pr2 Sm2 Sn2 Rh2'
_cell_length_a 4.294
_cell_length_b 4.437
_cell_length_c 11.166
_cell_angle_alpha 90.00
_cell_angle_beta 90.00
_cell_angle_gamma 90.00
_space_group_name_H-M_alt 'A m m 2'
_space_group_IT_number 38
loop_
_space_group_symop_operation_xyz
'x,y,z'
'-x,-y,z'
'-x,y,z'
'x,-y,z'
'x,y+1/2,z+1/2'
'-x,-y+1/2,z+1/2'
'-x,y+1/2,z+1/2'
'x,-y+1/2,z+1/2'
loop_
_atom_site_label
_atom_site_fract_x
_atom_site_fract_y
_atom_site_fract_z
Pr1 0.000 0.000 0.000
Sm1 0.500 0.000 0.292
Sn1 0.500 0.000 0.585
Rh1 0.000 0.000 0.744
```

Computed properties:
Total magnetization, μB/f.u.: 0.0
Energy above the most stable polymorph in this dataset, kJ/mol of atoms: 0.0
Total DFT energy (no corrections), eV per atom: -5.900
Crystal system: orthorhombic
Energy of formation from the pure elements, meV per atom: -687

***

DFT (GGA-PBE) results for a relaxed ZrRe2Te crystal.

Structure (CIF):
```
data_ZrRe2Te
_chemical_formula_sum 'Zr4 Re8 Te4'
_cell_length_a 6.625
_cell_length_b 6.625
_cell_length_c 6.625
_cell_angle_alpha 90.00
_cell_angle_beta 90.00
_cell_angle_gamma 90.00
_space_group_name_H-M_alt 'F -4 3 m'
_space_group_IT_number 216
_space_group_name_Hall 'F -4 2 3'
loop_
_atom_site_label
_atom_site_fract_x
_atom_site_fract_y
_atom_site_fract_z
Zr1 0.000 0.000 0.000
Re1 0.000 0.000 0.500
Re2 0.250 0.250 0.250
Te1 0.250 0.250 0.750
```

Computed properties:
Total magnetization, μB/f.u.: 0.0
Total DFT energy (no corrections), eV per atom: -8.609
Crystal system: cubic